A geometry-optimized Sc2TaOsPb structure. Source: Alexandria via LeMat-Bulk, functional PBE.

Unit cell a=5.194 b=5.194 c=4.921 alpha=90.00 beta=90.00 gamma=90.00
Fractional positions:
Sc 0.000 0.500 0.000
Sc 0.500 0.000 0.000
Ta 0.000 0.000 0.500
Os 0.500 0.500 0.500
Pb 0.500 0.500 0.000

VASP energy: -6.169 eV per atom
ΔH_f (0 K): 166.2 kJ per mole of atoms
volume: 133 Å³ per cell
space-group type: No. 123